Version one
A plane-wave DFT calculation with PBE was carried out for a relaxed structure of Cs2PbSe2.

V = 38.170 A^3/atom

abc: 10.488 10.488 3.470
angles: 90.00 90.00 90.00
Element x y z (fractional)
Cs 0.875 0.625 0.000
Cs 0.625 0.125 0.000
Cs 0.125 0.375 0.000
Cs 0.375 0.875 0.000
Pb 0.000 0.000 0.000
Pb 0.500 0.500 0.000
Se 0.826 0.326 0.500
Se 0.326 0.174 0.500
Se 0.174 0.674 0.500
Se 0.674 0.826 0.500


Version two
A plane-wave DFT calculation with PBE was carried out for a relaxed structure of Cs2PbSe2.

V = 44.638 A^3/atom

abc: 9.179 9.435 10.490
angles: 90.00 100.67 90.00
Element x y z (fractional)
Cs 0.053 0.343 0.673
Cs 0.974 0.776 0.934
Cs 0.447 0.843 0.327
Cs 0.026 0.224 0.066
Cs 0.474 0.724 0.934
Cs 0.526 0.276 0.066
Cs 0.947 0.657 0.327
Cs 0.553 0.157 0.673
Se 0.750 0.450 0.856
Se 0.250 0.050 0.856
Se 0.683 0.396 0.419
Se 0.317 0.604 0.581
Se 0.817 0.896 0.581
Se 0.750 0.950 0.144
Se 0.250 0.550 0.144
Se 0.183 0.104 0.419
Pb 0.851 0.095 0.377
Pb 0.649 0.595 0.623
Pb 0.149 0.905 0.623
Pb 0.351 0.405 0.377


Energy ordering: version two at the bottom, the next structure 59.6 kJ/mol of atoms above.


Version one
A plane-wave DFT calculation with PBE was carried out for a relaxed structure of Cs2PbSe2.

V = 44.238 A^3/atom

abc: 6.393 6.393 7.052
angles: 63.04 63.04 90.00
Element x y z (fractional)
Se 0.750 0.250 0.500
Se 0.250 0.750 0.500
Pb 0.000 0.000 0.000
Cs 0.345 0.345 0.311
Cs 0.655 0.655 0.689


Version two
A plane-wave DFT calculation with PBE was carried out for a relaxed structure of Cs2PbSe2.

V = 39.808 A^3/atom

abc: 8.600 8.600 5.382
angles: 90.00 90.00 90.00
Element x y z (fractional)
Se 0.178 0.322 0.000
Se 0.822 0.678 0.000
Se 0.322 0.822 0.000
Se 0.678 0.178 0.000
Pb 0.500 0.500 0.000
Pb 0.000 0.000 0.000
Cs 0.857 0.357 0.500
Cs 0.357 0.143 0.500
Cs 0.643 0.857 0.500
Cs 0.143 0.643 0.500


Energy ordering: version two at the bottom, the next structure 47.3 kJ/mol of atoms above.


Version one
A plane-wave DFT calculation with PBE was carried out for a relaxed structure of CsPb2Se2.

V = 35.982 A^3/atom

abc: 5.656 5.656 6.901
angles: 65.81 65.81 90.00
Element x y z (fractional)
Se 0.750 0.250 0.500
Se 0.250 0.750 0.500
Pb 0.655 0.655 0.690
Pb 0.345 0.345 0.310
Cs 0.000 0.000 0.000


Version two
A plane-wave DFT calculation with PBE was carried out for a relaxed structure of CsPb2Se2.

V = 41.231 A^3/atom

abc: 8.067 8.067 8.067
angles: 141.02 141.02 56.32
Element x y z (fractional)
Pb 0.750 0.250 0.500
Pb 0.250 0.750 0.500
Cs 0.000 0.000 0.000
Se 0.650 0.650 0.000
Se 0.350 0.350 0.000


Version three
A plane-wave DFT calculation with PBE was carried out for a relaxed structure of CsPb2Se2.

V = 34.236 A^3/atom

abc: 9.233 9.233 4.016
angles: 90.00 90.00 90.00
Element x y z (fractional)
Se 0.644 0.144 0.000
Se 0.856 0.644 0.000
Se 0.356 0.856 0.000
Se 0.144 0.356 0.000
Pb 0.620 0.880 0.500
Pb 0.380 0.120 0.500
Pb 0.880 0.380 0.500
Pb 0.120 0.620 0.500
Cs 0.000 0.000 0.000
Cs 0.500 0.500 0.000


Energy ordering: version one at the bottom, the next structure 11.1 kJ/mol of atoms above.